# PBE with a Hubbard U Rb2LiNd2W4O16, optimized geometry
data_Rb2LiNd2W4O16
_chemical_formula_sum 'Rb2 Li1 Nd2 W4 O16'
_space_group_name_H-M_alt 'P 1'
_space_group_IT_number 1
_cell_length_a 7.592
_cell_length_b 7.678
_cell_length_c 8.125
_cell_angle_alpha 89.69
_cell_angle_beta 62.69
_cell_angle_gamma 62.99
loop_
_space_group_symop_operation_xyz
'x,y,z'
loop_
_atom_site_label
_atom_site_type_symbol
_atom_site_fract_x
_atom_site_fract_y
_atom_site_fract_z
_atom_site_occupancy
Rb1 Rb 0.000 0.000 0.000 1
Rb2 Rb 0.492 0.364 0.678 1
Li1 Li 0.503 0.571 0.413 1
Nd1 Nd 0.510 0.965 0.008 1
Nd2 Nd 0.987 0.461 0.590 1
W1 W 0.047 0.899 0.490 1
W2 W 0.454 0.522 0.094 1
W3 W 0.545 0.916 0.482 1
W4 W 0.954 0.507 0.111 1
O1 O 0.042 0.464 0.855 1
O2 O 0.130 0.257 0.133 1
O3 O 0.173 0.588 0.068 1
O4 O 0.238 0.581 0.392 1
O5 O 0.276 0.842 0.217 1
O6 O 0.311 0.843 0.541 1
O7 O 0.374 0.167 0.460 1
O8 O 0.461 0.974 0.735 1
O9 O 0.554 0.248 0.027 1
O10 O 0.605 0.602 0.871 1
O11 O 0.706 0.452 0.157 1
O12 O 0.706 0.812 0.187 1
O13 O 0.769 0.607 0.420 1
O14 O 0.818 0.951 0.424 1
O15 O 0.889 0.839 0.717 1
O16 O 0.950 0.167 0.565 1
# - Magnetic moment: 1.00 μB per cell
# - Calculated total energy: -180.133 eV/cell